SnH3O GGA-PBE optimized geometry; ρ = 4.359 Mg/m³; space-group type = No. 221; total magnetic moment = 1.26 μB per cell; electronic total energy = -3.160 eV per atom; energy relative to the lowest polymorph listed for this composition = 0 meV/atom
1.0
3.744 0.000 0.000
0.000 3.744 0.000
0.000 0.000 3.744
H O Sn
3 1 1
Direct
0.500 0.000 0.000
0.000 0.500 0.000
0.000 0.000 0.500
0.500 0.500 0.500
0.000 0.000 0.000

***

SnHO2 GGA-PBE optimized geometry; ρ = 4.748 Mg/m³; space-group type = No. 6; total magnetic moment = 0.00 μB per cell; electronic total energy = -5.416 eV per atom
1.0
5.657 0.268 0.655
3.248 2.908 0.846
3.610 1.570 4.062
H Sn O
1 1 2
Direct
0.267 0.589 0.311
0.901 0.244 0.522
0.534 0.989 0.144
0.002 0.662 0.502

***

SnHO2 GGA-PBE optimized geometry; ρ = 5.223 Mg/m³; space-group type = No. 166; total magnetic moment = 0.00 μB per cell; electronic total energy = -5.378 eV per atom
1.0
2.363 -4.263 1.106
3.584 -2.932 -1.880
4.593 -1.580 1.175
H Sn O
1 1 2
Direct
0.000 0.000 0.000
0.500 0.500 0.500
0.089 0.089 0.089
0.911 0.911 0.911

***

Sn2HO3 GGA-PBE optimized geometry; ρ = 4.326 Mg/m³; space-group type = No. 36; total magnetic moment = 0.00 μB per cell; electronic total energy = -5.371 eV per atom
1.0
5.169 0.000 0.000
0.000 7.064 -0.137
0.000 -3.580 6.091
O Sn H
6 4 2
Direct
0.997 0.175 0.175
0.497 0.825 0.825
0.940 0.691 0.493
0.440 0.309 0.507
0.940 0.493 0.691
0.440 0.507 0.309
0.566 0.829 0.549
0.066 0.171 0.451
0.566 0.549 0.829
0.066 0.451 0.171
0.949 0.599 0.599
0.449 0.401 0.401

***

SnHO2 GGA-PBE optimized geometry; ρ = 5.629 Mg/m³; space-group type = No. 166; total magnetic moment = 0.00 μB per cell; electronic total energy = -3.871 eV per atom
1.0
1.140 2.978 4.893
2.221 0.175 5.399
3.867 2.177 3.797
Sn O H
1 2 1
Direct
0.000 0.000 0.000
0.116 0.116 0.116
0.884 0.884 0.884
0.500 0.500 0.500

***

SnHO2 GGA-PBE optimized geometry; ρ = 5.516 Mg/m³; space-group type = No. 122; total magnetic moment = 0.00 μB per cell; electronic total energy = -4.723 eV per atom
1.0
4.464 0.000 0.000
0.000 4.464 0.000
2.232 2.232 4.584
Sn H O
2 2 4
Direct
0.000 0.000 0.000
0.750 0.250 0.500
0.250 0.750 0.500
0.500 0.500 0.000
0.375 0.438 0.750
0.875 0.812 0.750
0.562 0.125 0.250
0.188 0.625 0.250

***

SnHO2 GGA-PBE optimized geometry; ρ = 6.978 Mg/m³; space-group type = No. 225; total magnetic moment = 0.96 μB per cell; electronic total energy = -4.645 eV per atom
1.0
-2.979 2.052 0.824
-1.439 2.287 -2.543
-3.277 -0.780 -1.553
O Sn H
2 1 1
Direct
0.750 0.750 0.750
0.250 0.250 0.250
0.500 0.500 0.500
0.000 0.000 0.000

***

Sn2H3O6 GGA-PBE optimized geometry; ρ = 4.180 Mg/m³; space-group type = No. 15; total magnetic moment = 2.00 μB per cell; electronic total energy = -5.493 eV per atom
1.0
-2.945 1.531 -4.774
-0.190 -3.516 -4.552
-8.723 -4.459 0.410
O H Sn
12 6 4
Direct
0.452 0.138 0.873
0.957 0.081 0.109
0.536 0.638 0.373
0.464 0.362 0.627
0.548 0.862 0.127
0.043 0.919 0.891
0.654 0.526 0.884
0.853 0.581 0.609
0.936 0.026 0.384
0.064 0.974 0.616
0.346 0.474 0.116
0.147 0.419 0.391
0.551 0.750 0.250
0.449 0.250 0.750
0.256 0.456 0.221
0.744 0.544 0.779
0.932 0.044 0.279
0.068 0.956 0.721
0.820 0.343 0.495
0.180 0.657 0.505
0.342 0.843 0.995
0.658 0.157 0.005

***

Sr2SnH8O8 GGA-PBE optimized geometry; ρ = 3.577 Mg/m³; space-group type = No. 14; total magnetic moment = 0.26 μB per cell; electronic total energy = -5.452 eV per atom
1.0
10.674 0.000 0.000
0.000 5.960 0.267
0.000 2.772 6.399
O H Sr Sn
16 16 4 2
Direct
0.478 0.206 0.300
0.426 0.751 0.105
0.978 0.294 0.700
0.926 0.749 0.895
0.678 0.574 0.095
0.178 0.926 0.905
0.074 0.251 0.105
0.522 0.794 0.700
0.822 0.074 0.095
0.735 0.441 0.563
0.265 0.559 0.437
0.574 0.249 0.895
0.235 0.059 0.437
0.322 0.426 0.905
0.765 0.941 0.563
0.022 0.706 0.300
0.366 0.657 0.225
0.866 0.843 0.775
0.225 0.823 0.034
0.292 0.720 0.430
0.708 0.280 0.570
0.725 0.677 0.966
0.792 0.780 0.570
0.134 0.157 0.225
0.275 0.323 0.034
0.634 0.343 0.775
0.111 0.651 0.324
0.611 0.849 0.676
0.889 0.349 0.676
0.208 0.220 0.430
0.775 0.177 0.966
0.389 0.151 0.324
0.882 0.354 0.290
0.382 0.146 0.710
0.118 0.646 0.710
0.618 0.854 0.290
0.500 0.500 0.000
0.000 0.000 0.000

***

TiSnHO2 GGA-PBE optimized geometry; ρ = 5.821 Mg/m³; space-group type = No. 123; total magnetic moment = 0.85 μB per cell; electronic total energy = -5.379 eV per atom
1.0
4.239 0.000 0.000
0.000 4.239 0.000
0.000 0.000 3.168
Ti O H Sn
1 2 1 1
Direct
0.000 0.000 0.500
0.500 0.000 0.000
0.000 0.500 0.000
0.000 0.000 0.000
0.500 0.500 0.500

***

Copy entry 9 word for word.
Sr2SnH8O8 GGA-PBE optimized geometry; ρ = 3.577 Mg/m³; space-group type = No. 14; total magnetic moment = 0.26 μB per cell; electronic total energy = -5.452 eV per atom
1.0
10.674 0.000 0.000
0.000 5.960 0.267
0.000 2.772 6.399
O H Sr Sn
16 16 4 2
Direct
0.478 0.206 0.300
0.426 0.751 0.105
0.978 0.294 0.700
0.926 0.749 0.895
0.678 0.574 0.095
0.178 0.926 0.905
0.074 0.251 0.105
0.522 0.794 0.700
0.822 0.074 0.095
0.735 0.441 0.563
0.265 0.559 0.437
0.574 0.249 0.895
0.235 0.059 0.437
0.322 0.426 0.905
0.765 0.941 0.563
0.022 0.706 0.300
0.366 0.657 0.225
0.866 0.843 0.775
0.225 0.823 0.034
0.292 0.720 0.430
0.708 0.280 0.570
0.725 0.677 0.966
0.792 0.780 0.570
0.134 0.157 0.225
0.275 0.323 0.034
0.634 0.343 0.775
0.111 0.651 0.324
0.611 0.849 0.676
0.889 0.349 0.676
0.208 0.220 0.430
0.775 0.177 0.966
0.389 0.151 0.324
0.882 0.354 0.290
0.382 0.146 0.710
0.118 0.646 0.710
0.618 0.854 0.290
0.500 0.500 0.000
0.000 0.000 0.000